{"formula": "CaCe5Sb6", "functional": "PBE", "state": "optimized geometry", "lattice": [[3.9061, -6.7629, 0.0000], [3.9061, 6.7629, 0.0000], [-2.6017, 0.0000, 7.3643]], "species": ["Ca", "Ce", "Ce", "Ce", "Ce", "Ce", "Sb", "Sb", "Sb", "Sb", "Sb", "Sb"], "frac_coords": [[0.0000, 0.0000, 0.0000], [0.1655, 0.8345, 0.5000], [0.3329, 0.6671, 0.0000], [0.5000, 0.5000, 0.5000], [0.6671, 0.3329, 0.0000], [0.8345, 0.1655, 0.5000], [0.0840, 0.4211, 0.2516], [0.2533, 0.2533, 0.7483], [0.4211, 0.0840, 0.2516], [0.5789, 0.9160, 0.7484], [0.7467, 0.7467, 0.2517], [0.9160, 0.5789, 0.7484]], "space_group": "C2/m, No. 12", "formation_energy_uncorrected_ev_per_atom": -1.03}

{"formula": "CaCeSb2", "functional": "PBE", "state": "optimized geometry", "lattice": [[0.0000, 3.8627, 3.8627], [3.8627, 0.0000, 3.8627], [3.8627, 3.8627, 0.0000]], "species": ["Ca", "Ce", "Sb", "Sb"], "frac_coords": [[0.0000, 0.0000, 0.0000], [0.5000, 0.5000, 0.5000], [0.2500, 0.2500, 0.2500], [0.7500, 0.7500, 0.7500]], "space_group": "Fm-3m, No. 225", "formation_energy_uncorrected_ev_per_atom": -0.82, "de_polymorph_ev_per_atom": 0.162}

{"formula": "CaCe2ScSb4", "functional": "PBE", "state": "optimized geometry", "lattice": [[7.5300, 0.0000, 0.0000], [0.0000, 4.4459, 0.0000], [-2.6137, 0.0000, 7.2822]], "species": ["Ca", "Ce", "Ce", "Sc", "Sb", "Sb", "Sb", "Sb"], "frac_coords": [[0.0000, 0.0000, 0.0000], [0.5000, 0.0000, 0.5000], [0.5000, 0.5000, 0.0000], [0.0000, 0.5000, 0.5000], [0.2376, 0.0000, 0.7354], [0.2469, 0.5000, 0.2604], [0.7531, 0.5000, 0.7396], [0.7624, 0.0000, 0.2646]], "space_group": "P2/m, No. 10", "formation_energy_uncorrected_ev_per_atom": -0.97}

{"formula": "Ca2CeScSb4", "functional": "PBE", "state": "optimized geometry", "lattice": [[7.5854, 0.0000, 0.0000], [0.0000, 4.4569, 0.0000], [-2.6052, 0.0000, 7.2658]], "species": ["Ca", "Ca", "Ce", "Sc", "Sb", "Sb", "Sb", "Sb"], "frac_coords": [[0.0000, 0.0000, 0.0000], [0.5000, 0.5000, 0.0000], [0.0000, 0.5000, 0.5000], [0.5000, 0.0000, 0.5000], [0.2553, 0.0000, 0.7340], [0.2678, 0.5000, 0.2731], [0.7322, 0.5000, 0.7269], [0.7447, 0.0000, 0.2660]], "space_group": "P2/m, No. 10", "formation_energy_uncorrected_ev_per_atom": -0.90}

{"formula": "Ca2CeSmSb4", "functional": "PBE", "state": "optimized geometry", "lattice": [[7.7501, 0.0000, 0.0000], [0.0000, 4.5214, 0.0000], [-2.6518, 0.0000, 7.3816]], "species": ["Ca", "Ca", "Ce", "Sm", "Sb", "Sb", "Sb", "Sb"], "frac_coords": [[0.0000, 0.0000, 0.0000], [0.0000, 0.5000, 0.5000], [0.5000, 0.0000, 0.5000], [0.5000, 0.5000, 0.0000], [0.2585, 0.0000, 0.7508], [0.2608, 0.5000, 0.2558], [0.7392, 0.5000, 0.7442], [0.7415, 0.0000, 0.2492]], "space_group": "P2/m, No. 10", "formation_energy_uncorrected_ev_per_atom": -0.96}

{"formula": "CaCe2SmSb4", "functional": "PBE", "state": "optimized geometry", "lattice": [[7.7455, 0.0000, 0.0000], [0.0000, 4.5116, 0.0000], [-2.6218, 0.0000, 7.3700]], "species": ["Ca", "Ce", "Ce", "Sm", "Sb", "Sb", "Sb", "Sb"], "frac_coords": [[0.0000, 0.0000, 0.0000], [0.5000, 0.0000, 0.5000], [0.5000, 0.5000, 0.0000], [0.0000, 0.5000, 0.5000], [0.2527, 0.0000, 0.7486], [0.2564, 0.5000, 0.2548], [0.7436, 0.5000, 0.7452], [0.7473, 0.0000, 0.2514]], "space_group": "P2/m, No. 10", "formation_energy_uncorrected_ev_per_atom": -1.05}